The following is a DFT calculation (PBE-GGA) of a geometry-optimized Dy2Zr3Ge4 structure.

The total magnetization comes out at 0.00 μB per atom. As for the energy relative to the elements: -8.05 eV per formula unit.

The space group is P2_1/c (No. 14) and the conventional cell measures 7.454, 7.448 and 7.245 Å, with angles of 90.00, 109.43 and 90.00 degrees. Symmetry generates all atoms from Dy at (0.189, 0.173, 0.066), Zr at (0.252, 0.676, 0.248), Zr at (0.500, 0.000, 0.500), Ge at (0.083, 0.534, 0.855) and Ge at (0.488, 0.132, 0.864).



The following is a DFT calculation (PBE-GGA) of a geometry-optimized ScSnHg2 structure.

The total magnetization comes out at 0.00 μB per atom. As for the energy relative to the elements: -0.62 eV per formula unit.

The space group is R3m (No. 160, hexagonal axes) and the conventional cell measures 4.6185, 4.6185 and 16.6949 Å, with angles of 90.00, 90.00 and 120.00 degrees. Symmetry generates all atoms from Sc at (0.0000, 0.0000, 0.0000), Sn at (0.0000, 0.0000, 0.1908), Hg at (0.0000, 0.0000, 0.4169) and Hg at (0.0000, 0.0000, 0.6042).



The following is a DFT calculation (PBE-GGA) of a geometry-optimized Li8MgHg2 structure.

The energy above the most stable polymorph in this dataset is 44 meV per atom. The total magnetization comes out at 0.00 μB per atom. As for the energy relative to the elements: -1.61 eV per formula unit.

The space group is C2/m (No. 12) and the conventional cell measures 7.430, 14.243 and 4.968 Å, with angles of 90.00, 129.82 and 90.00 degrees. Symmetry generates all atoms from Li at (0.000, 0.207, 0.000), Li at (0.020, 0.500, 0.282), Li at (0.232, 0.136, 0.744), Mg at (0.000, 0.000, 0.000) and Hg at (0.000, 0.322, 0.500).



> Among the records above, which one has the lowest energy relative to the elements?

Dy2Zr3Ge4